Record 1
{
  "formula": "AlVSeCl2",
  "functional": "GGA-PBE",
  "state": "relaxed",
  "dft_energy_ev_per_cell": -15.03,
  "raw_formation_energy_ev_per_atom": 1.0016,
  "lattice_angstrom": [[5.203, 0.000, 0.000], [0.000, 5.083, 0.000], [0.000, 0.000, 5.203]],
  "species": ["Cl", "Cl", "Al", "V", "Se"],
  "frac_coords": [[0.500, 0.000, 0.000], [0.000, 0.000, 0.500], [0.000, 0.500, 0.000], [0.500, 0.500, 0.500], [0.000, 0.000, 0.000]]
}

Record 2
{
  "formula": "AlWSeCl2",
  "functional": "GGA-PBE",
  "state": "relaxed",
  "dft_energy_ev_per_cell": -17.05,
  "raw_formation_energy_ev_per_atom": 1.3649,
  "lattice_angstrom": [[-2.622, -2.931, -2.713], [4.359, -0.216, -3.980], [1.876, -3.768, 2.259]],
  "species": ["Cl", "Cl", "W", "Al", "Se"],
  "frac_coords": [[0.500, 0.000, 0.000], [0.000, 0.000, 0.500], [0.500, 0.500, 0.500], [0.000, 0.500, 0.000], [0.000, 0.000, 0.000]]
}

Record 3
{
  "formula": "YAlSeCl2",
  "functional": "GGA-PBE",
  "state": "relaxed",
  "dft_energy_ev_per_cell": -20.67,
  "raw_formation_energy_ev_per_atom": -0.6563,
  "lattice_angstrom": [[5.060, 0.000, 0.000], [0.000, 6.496, 0.000], [0.000, 0.000, 5.060]],
  "species": ["Se", "Cl", "Cl", "Y", "Al"],
  "frac_coords": [[0.500, 0.500, 0.500], [0.500, 0.000, 0.000], [0.000, 0.000, 0.500], [0.000, 0.000, 0.000], [0.000, 0.500, 0.000]]
}

Record 4
{
  "formula": "AlSiCl2",
  "functional": "GGA-PBE",
  "state": "relaxed",
  "de_polymorph_ev_per_fu": 1.42,
  "dft_energy_ev_per_cell": -13.84,
  "raw_formation_energy_ev_per_atom": -0.2453,
  "lattice_angstrom": [[3.575, 0.024, 0.000], [-1.806, 3.086, 0.000], [0.000, 0.000, 9.083]],
  "species": ["Si", "Cl", "Cl", "Al"],
  "frac_coords": [[0.000, 0.000, 0.524], [0.500, 0.500, 0.342], [0.000, 0.000, 0.907], [0.500, 0.500, 0.727]]
}

Record 5
{
  "formula": "AlSiCl2",
  "functional": "GGA-PBE",
  "state": "relaxed",
  "de_polymorph_ev_per_fu": 2.36,
  "dft_energy_ev_per_cell": -12.90,
  "raw_formation_energy_ev_per_atom": -0.0104,
  "lattice_angstrom": [[4.358, 0.000, 0.000], [0.000, 3.219, -0.052], [0.000, -0.036, 5.644]],
  "species": ["Cl", "Cl", "Al", "Si"],
  "frac_coords": [[0.000, 0.488, 0.495], [0.000, 0.012, 0.005], [0.500, 0.750, 0.750], [0.500, 0.250, 0.250]]
}

Record 6
{
  "formula": "AlSi2Cl",
  "functional": "GGA-PBE",
  "state": "relaxed",
  "de_polymorph_ev_per_fu": 2.91,
  "dft_energy_ev_per_cell": -15.14,
  "raw_formation_energy_ev_per_atom": 0.3227,
  "lattice_angstrom": [[2.962, 0.000, 0.000], [0.000, 4.812, 0.000], [0.000, 0.000, 4.770]],
  "species": ["Cl", "Al", "Si", "Si"],
  "frac_coords": [[0.000, 0.500, 0.500], [0.500, 0.000, 0.500], [0.000, 0.000, 0.000], [0.500, 0.500, 0.000]]
}

Record 7
{
  "formula": "AlSiCl2",
  "functional": "GGA-PBE",
  "state": "relaxed",
  "de_polymorph_ev_per_fu": 3.06,
  "dft_energy_ev_per_cell": -12.20,
  "raw_formation_energy_ev_per_atom": 0.1653,
  "lattice_angstrom": [[-2.980, -0.885, -0.613], [-0.376, -0.836, 3.034], [-2.617, 7.590, 1.767]],
  "species": ["Cl", "Cl", "Al", "Si"],
  "frac_coords": [[0.000, 0.000, 0.514], [0.000, 0.000, 0.986], [0.500, 0.500, 0.750], [0.500, 0.500, 0.250]]
}

Record 8
{
  "formula": "AlSi2Cl",
  "functional": "GGA-PBE",
  "state": "relaxed",
  "de_polymorph_ev_per_fu": 3.08,
  "dft_energy_ev_per_cell": -14.97,
  "raw_formation_energy_ev_per_atom": 0.3655,
  "lattice_angstrom": [[8.085, -0.115, -0.068], [7.465, 3.107, -0.068], [7.465, 1.436, 2.755]],
  "species": ["Cl", "Al", "Si", "Si"],
  "frac_coords": [[0.750, 0.750, 0.750], [0.250, 0.250, 0.250], [0.993, 0.993, 0.993], [0.507, 0.507, 0.507]]
}

Record 9
{
  "formula": "AlSiCl2",
  "functional": "GGA-PBE",
  "state": "relaxed",
  "de_polymorph_ev_per_fu": 3.25,
  "dft_energy_ev_per_cell": -12.01,
  "raw_formation_energy_ev_per_atom": 0.2124,
  "lattice_angstrom": [[-4.263, 0.866, -2.827], [-1.545, -4.698, -1.566], [1.125, 1.635, 4.793]],
  "species": ["Al", "Cl", "Cl", "Si"],
  "frac_coords": [[0.750, 0.250, 0.500], [0.500, 0.500, 0.000], [0.000, 0.000, 0.000], [0.250, 0.750, 0.500]]
}

Record 10
{
  "formula": "AlSi2Cl",
  "functional": "GGA-PBE",
  "state": "relaxed",
  "de_polymorph_ev_per_fu": 0.67,
  "dft_energy_ev_per_cell": -34.75,
  "raw_formation_energy_ev_per_atom": -0.2355,
  "lattice_angstrom": [[-0.237, -2.139, 3.268], [6.541, -0.208, 0.359], [1.032, 5.020, 5.583]],
  "species": ["Si", "Si", "Si", "Si", "Al", "Al", "Cl", "Cl"],
  "frac_coords": [[0.469, 0.273, 0.758], [0.344, 0.988, 0.006], [0.898, 0.404, 0.901], [0.782, 0.109, 0.135], [0.525, 0.183, 0.445], [0.360, 0.615, 0.996], [0.213, 0.490, 0.313], [0.055, 0.955, 0.563]]
}

Record 11
{
  "formula": "AlSiCl2",
  "functional": "GGA-PBE",
  "state": "relaxed",
  "de_polymorph_ev_per_fu": 3.32,
  "dft_energy_ev_per_cell": -11.94,
  "raw_formation_energy_ev_per_atom": 0.2300,
  "lattice_angstrom": [[0.000, 3.460, 3.460], [3.460, 0.000, 3.460], [3.460, 3.460, 0.000]],
  "species": ["Cl", "Cl", "Si", "Al"],
  "frac_coords": [[0.250, 0.250, 0.250], [0.750, 0.750, 0.750], [0.500, 0.500, 0.500], [0.000, 0.000, 0.000]]
}

Record 12
{
  "formula": "AlSi2Cl",
  "functional": "GGA-PBE",
  "state": "relaxed",
  "de_polymorph_ev_per_fu": 2.97,
  "dft_energy_ev_per_cell": -15.08,
  "raw_formation_energy_ev_per_atom": 0.3381,
  "lattice_angstrom": [[-2.022, 0.860, 2.045], [-2.216, -0.663, -1.913], [-0.249, -7.218, 2.790]],
  "species": ["Si", "Si", "Al", "Cl"],
  "frac_coords": [[0.000, 0.000, 0.479], [0.000, 0.000, 0.021], [0.500, 0.500, 0.250], [0.500, 0.500, 0.750]]
}

Record 13
{
  "formula": "AlSiCl2",
  "functional": "GGA-PBE",
  "state": "relaxed",
  "de_polymorph_ev_per_fu": 2.07,
  "dft_energy_ev_per_cell": -13.19,
  "raw_formation_energy_ev_per_atom": -0.0824,
  "lattice_angstrom": [[-3.554, -8.438, 0.662], [-0.403, -9.101, 1.130], [-2.249, -8.127, 3.627]],
  "species": ["Cl", "Cl", "Al", "Si"],
  "frac_coords": [[0.911, 0.911, 0.911], [0.089, 0.089, 0.089], [0.500, 0.500, 0.500], [0.000, 0.000, 0.000]]
}

Record 14
{
  "formula": "Al3SiCl",
  "functional": "GGA-PBE",
  "state": "relaxed",
  "de_polymorph_ev_per_fu": 2.28,
  "dft_energy_ev_per_cell": -14.14,
  "raw_formation_energy_ev_per_atom": 0.8722,
  "lattice_angstrom": [[4.897, 0.000, 0.000], [0.000, 4.897, 0.000], [0.000, 0.000, 4.897]],
  "species": ["Al", "Al", "Al", "Si", "Cl"],
  "frac_coords": [[0.000, 0.000, 0.500], [0.000, 0.500, 0.000], [0.500, 0.000, 0.000], [0.500, 0.500, 0.500], [0.000, 0.000, 0.000]]
}

Record 15
{
  "formula": "AlSiCl",
  "functional": "GGA-PBE",
  "state": "relaxed",
  "de_polymorph_ev_per_fu": 2.53,
  "dft_energy_ev_per_cell": -10.17,
  "raw_formation_energy_ev_per_atom": 0.2800,
  "lattice_angstrom": [[-0.317, -4.379, -1.537], [0.426, 0.841, 4.555], [-2.830, 0.119, 0.243]],
  "species": ["Cl", "Al", "Si"],
  "frac_coords": [[0.333, 0.667, 0.167], [0.000, 0.000, 0.166], [0.667, 0.333, 0.667]]
}

Record 16
{
  "formula": "AlSi2Cl",
  "functional": "GGA-PBE",
  "state": "relaxed",
  "de_polymorph_ev_per_fu": 0.54,
  "dft_energy_ev_per_cell": -70.05,
  "raw_formation_energy_ev_per_atom": -0.2691,
  "lattice_angstrom": [[-0.291, -2.598, -2.762], [-3.817, -7.193, 7.170], [-9.163, 3.006, -1.862]],
  "species": ["Cl", "Cl", "Cl", "Cl", "Si", "Si", "Si", "Si", "Si", "Si", "Si", "Si", "Al", "Al", "Al", "Al"],
  "frac_coords": [[0.750, 0.156, 0.000], [0.750, 0.344, 0.500], [0.250, 0.844, 0.000], [0.250, 0.656, 0.500], [0.750, 0.564, 0.815], [0.250, 0.064, 0.315], [0.250, 0.436, 0.815], [0.750, 0.564, 0.061], [0.750, 0.936, 0.561], [0.750, 0.936, 0.315], [0.250, 0.436, 0.061], [0.250, 0.064, 0.561], [0.250, 0.280, 0.633], [0.750, 0.780, 0.133], [0.250, 0.220, 0.133], [0.750, 0.720, 0.633]]
}

Record 17
{
  "formula": "AlSiCl2",
  "functional": "GGA-PBE",
  "state": "relaxed",
  "de_polymorph_ev_per_fu": 2.68,
  "dft_energy_ev_per_cell": -25.16,
  "raw_formation_energy_ev_per_atom": 0.0701,
  "lattice_angstrom": [[-4.169, -1.154, -0.786], [1.335, -2.569, -3.309], [-0.601, -8.592, 3.507]],
  "species": ["Si", "Si", "Cl", "Cl", "Cl", "Cl", "Al", "Al"],
  "frac_coords": [[0.750, 0.250, 0.500], [0.000, 0.000, 0.000], [0.125, 0.625, 0.250], [0.375, 0.375, 0.750], [0.875, 0.875, 0.750], [0.625, 0.125, 0.250], [0.250, 0.750, 0.500], [0.500, 0.500, 0.000]]
}

Record 18
{
  "formula": "AlSi2Cl",
  "functional": "GGA-PBE",
  "state": "relaxed",
  "de_polymorph_ev_per_fu": 2.07,
  "dft_energy_ev_per_cell": -15.99,
  "raw_formation_energy_ev_per_atom": 0.1125,
  "lattice_angstrom": [[3.097, -0.041, 0.000], [-1.148, 2.876, 0.000], [0.000, 0.000, 9.213]],
  "species": ["Cl", "Si", "Si", "Al"],
  "frac_coords": [[0.500, 0.500, 0.666], [0.500, 0.500, 0.270], [0.000, 0.000, 0.084], [0.000, 0.000, 0.480]]
}

Record 19
{
  "formula": "AlSiCl2",
  "functional": "GGA-PBE",
  "state": "relaxed",
  "de_polymorph_ev_per_fu": 1.73,
  "dft_energy_ev_per_cell": -13.53,
  "raw_formation_energy_ev_per_atom": -0.1671,
  "lattice_angstrom": [[7.892, 0.070, -0.009], [6.031, 5.091, 0.009], [-6.765, -3.109, 2.617]],
  "species": ["Cl", "Cl", "Si", "Al"],
  "frac_coords": [[0.612, 0.612, 0.000], [0.888, 0.888, 0.000], [0.750, 0.250, 0.500], [0.250, 0.750, 0.500]]
}

Record 20
{
  "formula": "AlSiCl",
  "functional": "GGA-PBE",
  "state": "relaxed",
  "de_polymorph_ev_per_fu": 3.13,
  "dft_energy_ev_per_cell": -9.58,
  "raw_formation_energy_ev_per_atom": 0.4782,
  "lattice_angstrom": [[4.562, 0.000, 0.000], [2.281, 3.951, 0.000], [2.281, 1.317, 3.725]],
  "species": ["Al", "Cl", "Si"],
  "frac_coords": [[0.000, 0.000, 0.000], [0.500, 0.500, 0.500], [0.250, 0.250, 0.250]]
}